1.
The following is a PBE calculation of a geometry-optimized SmPHRh structure, from Alexandria.

The structure in POSCAR format:
```
SmPHRh
1.0
-1.019 3.784 -0.350
-1.096 -0.640 -3.724
-7.085 -1.688 2.376
Sm P H Rh
2 2 2 2
Cartesian
-5.231 0.767 1.408 Sm
-2.912 -0.883 -1.069 Sm
-1.803 1.584 0.259 P
-6.340 -1.700 0.080 P
-4.600 0.728 -0.849 H
-3.543 -0.844 1.188 H
-1.058 1.572 -2.037 Rh
0.000 0.000 0.000 Rh
```

Properties
volume: 119 Å³ per cell
VASP energy: -6.197 eV per atom
total magnetization: 0.000 μB per atom


2.
The following is a PBE calculation of a geometry-optimized LiZr2Ta structure, from Alexandria.

The structure in POSCAR format:
```
LiZr2Ta
1.0
2.949 -0.019 0.000
-0.895 2.810 0.000
0.000 0.000 10.237
Li Zr Ta
1 2 1
Cartesian
1.027 1.395 2.559 Li
0.000 0.000 10.033 Zr
0.000 0.000 5.323 Zr
1.027 1.395 7.678 Ta
```

Properties
volume: 85 Å³ per cell
relative energy among the computed polymorphs: 0 meV/atom
energy relative to the elements: 0.1437 eV/atom
total magnetization: 0.000 μB per atom


3.
The following is a PBE calculation of a geometry-optimized VTc2Cl structure, from Alexandria.

The structure in POSCAR format:
```
VTc2Cl
1.0
-3.072 -1.277 2.769
-4.131 1.090 -0.697
-2.865 -3.021 -1.188
Cl Tc V
1 2 1
Cartesian
0.000 0.000 0.000 Cl
-2.517 -0.802 0.221 Tc
-7.551 -2.406 0.664 Tc
-5.034 -1.604 0.442 V
```

Properties
volume: 57 Å³ per cell
relative energy among the computed polymorphs: 0 meV/atom
uncorrected formation energy: 2.9 eV/f.u.
total magnetization: 0.000 μB per atom


4.
The following is a PBE calculation of a geometry-optimized Na8LiTl6 structure, from Alexandria.

The structure in POSCAR format:
```
Na8LiTl6
1.0
-0.728 -3.127 5.183
3.474 -4.881 1.129
10.228 5.384 8.270
Na Tl Li
8 6 1
Cartesian
5.682 -1.173 4.879 Na
12.055 0.042 12.475 Na
0.919 -2.666 2.106 Na
7.293 -1.452 9.703 Na
8.926 -0.989 6.631 Na
6.374 1.211 7.611 Na
4.049 -1.636 7.950 Na
6.601 -3.836 6.970 Na
3.393 -4.916 7.109 Tl
10.589 -0.451 9.533 Tl
4.996 -4.361 3.962 Tl
2.385 -2.174 5.049 Tl
9.582 2.291 7.473 Tl
7.979 1.736 10.619 Tl
0.000 0.000 0.000 Li
```

Properties
volume: 443 Å³ per cell
relative energy among the computed polymorphs: 28 meV/atom
energy relative to the elements: -0.0591 eV/atom
total magnetization: 0.000 μB per atom


5.
The following is a PBE calculation of a geometry-optimized YCrPt2 structure, from Alexandria.

The structure in POSCAR format:
```
YCrPt2
1.0
4.687 0.000 0.000
0.000 4.687 0.000
2.343 2.343 8.293
Pt Cr Y
4 2 2
Cartesian
2.996 1.172 2.073 Pt
3.515 4.034 6.220 Pt
5.858 5.339 6.220 Pt
1.691 3.515 2.073 Pt
2.343 2.343 0.000 Cr
2.343 4.687 4.146 Cr
0.000 0.000 0.000 Y
4.687 2.343 4.146 Y
```

Properties
volume: 182 Å³ per cell
relative energy among the computed polymorphs: 552 meV/atom
energy relative to the elements: -0.0993 eV/atom
total magnetization: 0.896 μB per atom


6.
The following is a PBE calculation of a geometry-optimized ZrGaOs structure, from Alexandria.

The structure in POSCAR format:
```
ZrGaOs
1.0
3.203 0.000 0.000
0.000 3.203 0.000
-1.602 -1.602 4.998
Os Ga Zr
1 1 1
Cartesian
1.602 1.602 4.382 Os
0.000 0.000 3.038 Ga
1.602 1.602 1.076 Zr
```

Properties
volume: 51 Å³ per cell
energy relative to the elements: -0.3242 eV/atom
total magnetization: 0.000 μB per atom


7.
The following is a PBE calculation of a geometry-optimized Ni2AsIr structure, from Alexandria.

The structure in POSCAR format:
```
Ni2AsIr
1.0
2.971 0.000 0.000
0.000 2.971 0.000
0.000 0.000 5.872
Ni As Ir
2 1 1
Cartesian
0.000 0.000 0.087 Ni
0.000 0.000 2.850 Ni
1.485 1.485 1.468 As
1.485 1.485 4.404 Ir
```

Properties
volume: 52 Å³ per cell
energy relative to the elements: 0.0714 eV/atom
total magnetization: 0.000 μB per atom


8.
The following is a PBE calculation of a geometry-optimized LaHg2Au2 structure, from Alexandria.

The structure in POSCAR format:
```
LaHg2Au2
1.0
8.130 0.000 0.000
0.000 8.130 0.000
0.000 0.000 3.698
Hg Au La
4 4 2
Cartesian
3.067 7.131 0.000 Hg
5.063 0.998 0.000 Hg
7.131 5.063 0.000 Hg
0.998 3.067 0.000 Hg
6.666 2.601 1.849 Au
1.463 5.528 1.849 Au
5.528 6.666 1.849 Au
2.601 1.463 1.849 Au
0.000 0.000 0.000 La
4.065 4.065 0.000 La
```

Properties
volume: 244 Å³ per cell
relative energy among the computed polymorphs: 237 meV/atom
energy relative to the elements: -0.2343 eV/atom
total magnetization: 0.060 μB per atom


Q: What is the total magnetization in the first record?
A: 0.000 μB per atom